Computed, not measured: a relaxed structure of Tb3Y6Ho2In at the PBE level of DFT.

Properties
The formation energy from the elements is -39 meV/atom.

Lattice parameters (Å, degrees): 6.117 6.117 11.648 95.05 95.05 120.04
Fractional positions:
Y 0.919 0.591 0.755
Y 0.409 0.081 0.245
Y 0.591 0.919 0.755
Y 0.753 0.753 0.247
Y 0.081 0.409 0.245
Y 0.247 0.247 0.753
Tb 0.167 0.833 0.500
Tb 0.500 0.500 0.500
Tb 0.833 0.167 0.500
Ho 0.666 0.334 0.000
Ho 0.334 0.666 0.000
In 0.000 0.000 0.000

=====

Computed, not measured: a relaxed structure of Pr3Sm7Dy2 at the PBE level of DFT.

Properties
The formation energy from the elements is 85 meV/atom. Its distance to the lowest polymorph of the same formula is 0.000 eV/atom.

Lattice parameters (Å, degrees): 3.625 5.945 19.154 93.04 90.00 90.00
Fractional positions:
Dy 0.500 0.289 0.706
Dy 0.500 0.711 0.294
Pr 0.500 0.500 0.000
Pr 0.000 0.780 0.634
Pr 0.000 0.220 0.366
Sm 0.500 0.743 0.464
Sm 0.000 0.311 0.855
Sm 0.500 0.191 0.179
Sm 0.500 0.809 0.821
Sm 0.000 0.000 0.000
Sm 0.500 0.257 0.536
Sm 0.000 0.689 0.145

=====

Computed, not measured: a relaxed structure of GaCuTe at the PBE level of DFT.

Properties
Its distance to the lowest polymorph of the same formula is 0.053 eV/atom. The value obtained for the raw formation energy is -0.09 eV/atom.

Lattice parameters (Å, degrees): 4.649 4.519 6.892 90.00 109.14 90.00
Fractional positions:
Cu 0.180 0.000 0.348
Cu 0.883 0.500 0.173
Te 0.942 0.500 0.798
Te 0.586 0.000 0.150
Ga 0.552 0.000 0.722
Ga 0.265 0.500 0.511

=====

Computed, not measured: a relaxed structure of Cd5S at the PBE level of DFT.

Properties
The value obtained for the raw formation energy is 0.06 eV/atom.

Lattice parameters (Å, degrees): 4.564 4.492 6.899 109.00 90.00 90.00
Fractional positions:
Cd 0.500 0.835 0.669
Cd 0.000 0.666 0.331
Cd 0.500 0.165 0.331
Cd 0.000 0.334 0.669
Cd 0.500 0.500 0.000
S 0.000 0.000 0.000

=====

Computed, not measured: a relaxed structure of Dy3YRu at the PBE level of DFT.

Properties
The formation energy from the elements is -57 meV/atom. Its distance to the lowest polymorph of the same formula is 0.080 eV/atom.

Lattice parameters (Å, degrees): 5.386 5.386 5.386 90.00 90.00 90.00
Fractional positions:
Ru 0.000 0.000 0.000
Dy 0.000 0.000 0.500
Dy 0.000 0.500 0.000
Dy 0.500 0.000 0.000
Y 0.500 0.500 0.500

=====

Computed, not measured: a relaxed structure of SrTlFe2Si at the PBE level of DFT.

Properties
The value obtained for the raw formation energy is 2.37 eV/atom.

Lattice parameters (Å, degrees): 4.700 5.869 4.700 90.00 90.00 90.00
Last column: magnetic moment on the atom in μB.
Fractional positions:
Si 0.500 0.500 0.500  0.04
Fe 0.500 0.000 0.000  -0.04
Fe 0.000 0.000 0.500  0.07
Sr 0.000 0.000 0.000  0.00
Tl 0.000 0.500 0.000  -0.01